[1]
Computed, not measured: an optimized crystal structure of LiSmIn2Au4 at the PBE-GGA level of DFT.

The structure in POSCAR format:
```
LiSmIn2Au4
1.0
-1.274 3.996 -2.282
-4.353 1.846 0.667
1.025 6.496 5.806
Li Sm In Au
1 1 2 4
Direct
0.500 0.500 0.500
0.000 0.000 0.000
0.755 0.755 0.734
0.245 0.245 0.266
0.389 0.389 0.832
0.870 0.870 0.389
0.130 0.130 0.611
0.611 0.611 0.168
```

Output
Crystal system: trigonal
D(E_F) (states/eV/cell): 3.48
Energy of formation (meV per atom): -537
Symmetry: No. 166

[2]
Computed, not measured: an optimized crystal structure of NdGa2F8 at the PBE-GGA level of DFT.

The structure in POSCAR format:
```
NdGa2F8
1.0
-1.217 -1.919 3.349
-0.055 -5.965 -3.438
5.713 2.048 3.250
Nd Ga F
1 2 8
Direct
0.000 0.000 0.000
0.268 0.333 0.667
0.732 0.667 0.333
0.236 0.667 0.333
0.764 0.333 0.667
0.733 0.828 0.171
0.267 0.171 0.344
0.267 0.657 0.828
0.267 0.172 0.829
0.733 0.829 0.656
0.733 0.343 0.172
```

Output
Formation energy (no corrections) (eV per atom): -2.841
Crystal system: trigonal
D(E_F) (states/eV/cell): 2.09
Symmetry: No. 164

[3]
Computed, not measured: an optimized crystal structure of CoTcMo2N at the PBE-GGA level of DFT.

The structure in POSCAR format:
```
CoTcMo2N
1.0
4.110 0.000 0.000
0.000 4.110 0.000
0.000 0.000 3.748
Mo Co Tc N
2 1 1 1
Direct
0.000 0.500 0.000
0.500 0.000 0.000
0.000 0.000 0.500
0.500 0.500 0.500
0.000 0.000 0.000
```

Output
Formation energy (no corrections) (eV per atom): -0.060
Crystal system: tetragonal
D(E_F) (states/eV/cell): 4.74
Symmetry: No. 123

[4]
Computed, not measured: an optimized crystal structure of Sc2As2Ru at the PBE-GGA level of DFT.

The structure in POSCAR format:
```
Sc2As2Ru
1.0
-1.779 1.779 7.618
1.779 -1.779 7.618
1.779 1.779 -7.618
Sc As Ru
2 2 1
Direct
0.599 0.599 0.000
0.401 0.401 0.000
0.250 0.750 0.500
0.750 0.250 0.500
0.000 0.000 0.000
```

Output
Crystal system: tetragonal
D(E_F) (states/eV/cell): 2.59
Energy of formation (meV per atom): -343
Symmetry: No. 139

[5]
Computed, not measured: an optimized crystal structure of KPb2Cl at the PBE-GGA level of DFT.

The structure in POSCAR format:
```
KPb2Cl
1.0
11.618 0.032 0.019
11.020 3.679 0.019
11.020 1.806 3.205
Pb K Cl
2 1 1
Direct
0.985 0.985 0.985
0.515 0.515 0.515
0.750 0.750 0.750
0.250 0.250 0.250
```

Output
Formation energy (no corrections) (eV per atom): -0.180
Crystal system: trigonal
D(E_F) (states/eV/cell): 2.29
Symmetry: No. 166

[6]
Computed, not measured: an optimized crystal structure of Mn3CdS at the PBE-GGA level of DFT.

The structure in POSCAR format:
```
Mn3CdS
1.0
4.995 0.000 0.000
0.000 4.995 0.000
0.000 0.000 4.995
S Mn Cd
1 3 1
Direct
0.500 0.500 0.500
0.000 0.500 0.000
0.000 0.000 0.500
0.500 0.000 0.000
0.000 0.000 0.000
```

Output
Formation energy (no corrections) (eV per atom): 1.233
Crystal system: cubic
D(E_F) (states/eV/cell): 1.77
Symmetry: No. 221

[7]
Computed, not measured: an optimized crystal structure of Tb4Pm5Sm2 at the PBE-GGA level of DFT.

The structure in POSCAR format:
```
Tb4Pm5Sm2
1.0
-1.964 2.280 -1.769
-4.966 -6.655 -3.063
-5.480 1.029 10.857
Tb Pm Sm
4 5 2
Direct
0.676 0.472 0.353
0.046 0.363 0.091
0.324 0.528 0.647
0.954 0.637 0.909
0.140 0.120 0.280
0.860 0.880 0.720
0.232 0.822 0.464
0.500 0.000 0.000
0.768 0.178 0.536
0.908 0.266 0.816
0.092 0.734 0.184
```

Output
Crystal system: monoclinic
D(E_F) (states/eV/cell): 17.87
Energy of formation (meV per atom): 140
Symmetry: No. 12

[8]
Computed, not measured: an optimized crystal structure of TaVSbMo2 at the PBE-GGA level of DFT.

The structure in POSCAR format:
```
TaVSbMo2
1.0
4.526 0.000 0.000
0.000 4.526 0.000
0.000 0.000 4.820
Sb Mo V Ta
1 2 1 1
Direct
0.000 0.000 0.500
0.000 0.500 0.000
0.500 0.000 0.000
0.000 0.000 0.000
0.500 0.500 0.500
```

Output
Formation energy (no corrections) (eV per atom): 1.327
Crystal system: tetragonal
D(E_F) (states/eV/cell): 8.32
Symmetry: No. 123

no.,E_tot (eV per atom)
1,-3.689
2,-5.186
3,-9.552
4,-6.590
5,-2.770
6,-5.277
7,-4.561
8,-8.024